# 1
A plane-wave DFT calculation with PBE was carried out for an optimized crystal structure of Sc6Ga3N.

crystal system: monoclinic
space-group type: C2/m
total DFT energy (no corrections): -62.14 eV/cell

Cell: 5.9997 5.9997 6.2227 Å, 98.45 98.45 61.56°
Positions (direct):
Sc 0.1342 0.6473 0.6459
Sc 0.1546 0.1546 0.8430
Sc 0.3527 0.8658 0.3541
Sc 0.6473 0.1342 0.6459
Sc 0.8454 0.8454 0.1570
Sc 0.8658 0.3527 0.3541
Ga 0.3334 0.3334 0.2623
Ga 0.5000 0.5000 0.0000
Ga 0.6666 0.6666 0.7377
N 0.0000 0.0000 0.5000



# 2
A plane-wave DFT calculation with PBE was carried out for an optimized crystal structure of Sc2Ga2N.

crystal system: tetragonal
space-group type: P4/mbm
total DFT energy (no corrections): -59.72 eV/cell

Cell: 6.0137 6.0137 4.8761 Å, 90.00 90.00 90.00°
Positions (direct):
Sc 0.1829 0.3171 0.0000
Sc 0.3171 0.8171 0.0000
Sc 0.6829 0.1829 0.0000
Sc 0.8171 0.6829 0.0000
Ga 0.1466 0.6466 0.5000
Ga 0.3534 0.1466 0.5000
Ga 0.6466 0.8534 0.5000
Ga 0.8534 0.3534 0.5000
N 0.0000 0.0000 0.0000
N 0.5000 0.5000 0.0000



# 3
A plane-wave DFT calculation with PBE was carried out for an optimized crystal structure of ScGaN2.

crystal system: tetragonal
space-group type: I-42d
total DFT energy (no corrections): -119.75 eV/cell

Cell: 4.7575 4.7575 9.3101 Å, 90.00 90.00 90.00°
Positions (direct):
Sc 0.0000 0.0000 0.0000
Sc 0.0000 0.5000 0.2500
Sc 0.5000 0.0000 0.7500
Sc 0.5000 0.5000 0.5000
Ga 0.0000 0.0000 0.5000
Ga 0.0000 0.5000 0.7500
Ga 0.5000 0.0000 0.2500
Ga 0.5000 0.5000 0.0000
N 0.2296 0.2500 0.6250
N 0.2500 0.7296 0.8750
N 0.2500 0.7704 0.3750
N 0.2704 0.2500 0.1250
N 0.7296 0.7500 0.1250
N 0.7500 0.2296 0.3750
N 0.7500 0.2704 0.8750
N 0.7704 0.7500 0.6250



| no. | E_form (uncorrected) (eV/f.u.) | spin magnetization (μB/f.u.) | DOS(E_F) (states/eV/f.u.) |
| --- | --- | --- | --- |
| 1 | -6.741 | 0.00 | 8.74 |
| 2 | -2.818 | 0.00 | 7.05 |
| 3 | -3.929 | 0.00 | 0.00 |